# 1
This record from the Alexandria database describes crystalline ScWSe2Br at its relaxed geometry. The functional is GGA-PBE.

Computed properties:
Total moment (μB/f.u.): 4.0
Raw formation energy (eV per atom): 0.430
E_tot (eV/atom): -5.1549

Cell: 5.2157 5.2157 4.9619 Å, 90.00 90.00 90.00°
With the nearest neighbours (Å) after each atom.
Element x y z (fractional)
Sc: 0.0000 0.0000 0.0000  2 Br 2.48, 4 Se 2.61
Se: 0.0000 0.5000 0.0000  2 Sc 2.61
Se: 0.5000 0.0000 0.0000  2 Sc 2.61
Br: 0.0000 0.0000 0.5000  2 Sc 2.48
W: 0.5000 0.5000 0.5000  8 Se 3.60, 4 Br 3.69

***

# 2
This record from the Alexandria database describes crystalline ScWSe2Br at its relaxed geometry. The functional is GGA-PBE.

Computed properties:
Total moment (μB/f.u.): 1.3
Raw formation energy (eV per atom): 0.179
E_tot (eV/atom): -5.4061

Cell: 4.8916 4.8916 5.2940 Å, 90.00 90.00 90.00°
With the nearest neighbours (Å) after each atom.
Element x y z (fractional)
Sc: 0.5000 0.5000 0.5000  4 Br 3.46, 8 Se 3.60
Se: 0.0000 0.5000 0.0000  2 W 2.45
Se: 0.5000 0.0000 0.0000  2 W 2.45
Br: 0.0000 0.0000 0.5000  2 W 2.65
W: 0.0000 0.0000 0.0000  4 Se 2.45, 2 Br 2.65

***

# 3
This record from the Alexandria database describes crystalline ScWSeBr2 at its relaxed geometry. The functional is GGA-PBE.

Computed properties:
Total moment (μB/f.u.): 5.0
Raw formation energy (eV per atom): 0.329
E_tot (eV/atom): -4.8937

Cell: 5.1167 5.1167 5.4422 Å, 90.00 90.00 90.00°
With the nearest neighbours (Å) after each atom.
Element x y z (fractional)
Sc: 0.0000 0.0000 0.0000  4 Br 2.56, 2 Se 2.72
Se: 0.0000 0.0000 0.5000  2 Sc 2.72
Br: 0.0000 0.5000 0.0000  2 Sc 2.56
Br: 0.5000 0.0000 0.0000  2 Sc 2.56
W: 0.5000 0.5000 0.5000  4 Se 3.62, 8 Br 3.73

***

# 4
This record from the Alexandria database describes crystalline YScSe2Br at its relaxed geometry. The functional is GGA-PBE.

Computed properties:
Total moment (μB/f.u.): 1.0
Raw formation energy (eV per atom): -0.831
E_tot (eV/atom): -5.1185

Cell: 5.4791 5.4791 5.3378 Å, 90.00 90.00 90.00°
With the nearest neighbours (Å) after each atom.
Element x y z (fractional)
Y: 0.0000 0.0000 0.0000  2 Br 2.67, 4 Se 2.74
Sc: 0.5000 0.5000 0.5000  8 Se 3.82, 4 Br 3.87
Se: 0.0000 0.5000 0.0000  2 Y 2.74
Se: 0.5000 0.0000 0.0000  2 Y 2.74
Br: 0.0000 0.0000 0.5000  2 Y 2.67

***

# 5
This record from the Alexandria database describes crystalline YScSe2Br at its relaxed geometry. The functional is GGA-PBE.

Computed properties:
Total moment (μB/f.u.): 0.4
Raw formation energy (eV per atom): -1.072
E_tot (eV/atom): -5.3598

Cell: 5.1789 5.1789 5.0352 Å, 90.00 90.00 90.00°
With the nearest neighbours (Å) after each atom.
Element x y z (fractional)
Y: 0.5000 0.5000 0.5000  8 Se 3.61, 4 Br 3.66
Sc: 0.0000 0.0000 0.0000  2 Br 2.52, 4 Se 2.59
Se: 0.0000 0.5000 0.0000  2 Sc 2.59
Se: 0.5000 0.0000 0.0000  2 Sc 2.59
Br: 0.0000 0.0000 0.5000  2 Sc 2.52

***

# 6
This record from the Alexandria database describes crystalline ScZnSe2Br at its relaxed geometry. The functional is GGA-PBE.

Computed properties:
Total moment (μB/f.u.): 0.0
Raw formation energy (eV per atom): -0.518
E_tot (eV/atom): -3.7678

Cell: 5.2205 5.2205 5.2009 Å, 90.00 90.00 90.00°
With the nearest neighbours (Å) after each atom.
Element x y z (fractional)
Sc: 0.0000 0.0000 0.0000  2 Br 2.60, 4 Se 2.61
Zn: 0.5000 0.5000 0.5000  8 Se 3.68, 4 Br 3.69
Se: 0.0000 0.5000 0.0000  2 Sc 2.61
Se: 0.5000 0.0000 0.0000  2 Sc 2.61
Br: 0.0000 0.0000 0.5000  2 Sc 2.60

***

# 7
This record from the Alexandria database describes crystalline ScZnSeBr2 at its relaxed geometry. The functional is GGA-PBE.

Computed properties:
Total moment (μB/f.u.): 0.0
Raw formation energy (eV per atom): -0.775
E_tot (eV/atom): -3.6619

Cell: 5.2305 5.2305 5.3659 Å, 90.00 90.00 90.00°
With the nearest neighbours (Å) after each atom.
Element x y z (fractional)
Sc: 0.0000 0.0000 0.0000  4 Br 2.62, 2 Se 2.68
Zn: 0.5000 0.5000 0.5000  4 Se 3.70, 8 Br 3.75
Se: 0.0000 0.0000 0.5000  2 Sc 2.68
Br: 0.0000 0.5000 0.0000  2 Sc 2.62
Br: 0.5000 0.0000 0.0000  2 Sc 2.62

***

# 8
This record from the Alexandria database describes crystalline ScZnSeBr2 at its relaxed geometry. The functional is GGA-PBE.

Computed properties:
Total moment (μB/f.u.): 0.8
Raw formation energy (eV per atom): -0.356
E_tot (eV/atom): -3.2432

Cell: 4.9929 4.9929 5.1630 Å, 90.00 90.00 90.00°
With the nearest neighbours (Å) after each atom.
Element x y z (fractional)
Sc: 0.5000 0.5000 0.5000  4 Se 3.53, 8 Br 3.59
Zn: 0.0000 0.0000 0.0000  4 Br 2.50, 2 Se 2.58
Se: 0.0000 0.0000 0.5000  2 Zn 2.58
Br: 0.0000 0.5000 0.0000  2 Zn 2.50
Br: 0.5000 0.0000 0.0000  2 Zn 2.50

***

What is the formula in the third record? ScWSeBr2

***

Which formula does entry 5 have? YScSe2Br

***

raw formation energy of number 7 (ScZnSeBr2)? -0.775 eV per atom